Entry 1:
A relaxed structure of CsNaP2S. Source: Alexandria via LeMat-Bulk, functional PBE.

a = 5.2249 Å, b = 5.2249 Å, c = 5.3331 Å
α = 90.00°, β = 90.00°, γ = 90.00°
Last column: magnetic moment on the atom in μB.
Sites, in units of the cell vectors:
Cs: 0.5000 0.5000 0.5000  0.02
P: 0.0000 0.5000 0.0000  0.26
P: 0.5000 0.0000 0.0000  0.26
S: 0.0000 0.0000 0.5000  -0.04
Na: 0.0000 0.0000 0.0000  0.00

Computed properties:
polymorph energy (0 for the lowest one)	0.000	eV/atom
VASP energy	-13.7	eV for the cell shown
crystal system	tetragonal
energy relative to the elements, uncorrected	0.684	eV per atom
N(E_F)	4.64	states/eV/cell
SG	P4/mmm (123)



Entry 2:
A relaxed structure of CsNaP2S. Source: Alexandria via LeMat-Bulk, functional PBE.

a = 5.9303 Å, b = 5.9303 Å, c = 5.9280 Å
α = 90.00°, β = 90.00°, γ = 90.00°
Last column: magnetic moment on the atom in μB.
Sites, in units of the cell vectors:
Cs: 0.0000 0.0000 0.0000  0.04
P: 0.0000 0.5000 0.0000  0.61
P: 0.5000 0.0000 0.0000  0.61
S: 0.0000 0.0000 0.5000  0.41
Na: 0.5000 0.5000 0.5000  0.00

Computed properties:
polymorph energy (0 for the lowest one)	0.568	eV/atom
VASP energy	-10.9	eV for the cell shown
crystal system	tetragonal
energy relative to the elements, uncorrected	1.252	eV per atom
N(E_F)	3.03	states/eV/cell
SG	P4/mmm (123)